Here is crystalline HfZr2Sb at its relaxed geometry from OQMD via LeMat-Bulk. Energies are from PBE.

Results
**Crystal system**: cubic
**Calculated total energy**: -7.94 eV per atom
**M_tot**: 0.000 μB per atom

Structure (POSCAR):
```
HfZr2Sb
1.0
0.000 3.516 3.516
3.516 0.000 3.516
3.516 3.516 0.000
Hf Zr Sb
1 2 1
direct
0.000 0.000 0.000
0.250 0.250 0.250
0.500 0.500 0.500
0.750 0.750 0.750
```

Here is crystalline Sm2Gd2AlTl at its relaxed geometry from OQMD via LeMat-Bulk. Energies are from PBE.

Results
**Crystal system**: hexagonal
**Calculated total energy**: -4.39 eV per atom
**M_tot**: 0.059 μB per atom

Structure (POSCAR):
```
Sm2Gd2AlTl
1.0
5.390 0.000 0.000
-2.695 4.668 0.000
0.000 0.000 6.823
Sm Gd Al Tl
2 2 1 1
direct
0.000 0.000 0.000
0.333 0.667 0.500
0.667 0.333 0.258
0.667 0.333 0.742
0.000 0.000 0.500
0.333 0.667 0.000
```